Version one
5
Lattice="5.009 0.000 0.000 0.000 5.009 0.000 0.000 0.000 5.009" Properties=species:S:1:pos:R:3 comment="Mg3GaOs GGA-PBE relaxed" total_magnetization_mub_per_fu=0.00 dos_ef_per_ev_cell=2.0 sg="Pm-3m (221)" pbc="T T T"
Mg 0.000 0.000 2.504
Mg 0.000 2.504 0.000
Mg 2.504 0.000 0.000
Ga 2.504 2.504 2.504
Os 0.000 0.000 0.000

=====

Version two
5
Lattice="-2.380 -3.946 1.515 2.987 -0.340 3.807 -2.990 2.801 2.596" Properties=species:S:1:pos:R:3 comment="Mg3GaOs GGA-PBE relaxed" total_magnetization_mub_per_fu=2.82 dos_ef_per_ev_cell=1.8 sg="Pm-3m (221)" pbc="T T T"
Mg 1.493 -0.170 1.903
Mg -1.495 1.400 1.298
Mg -1.190 -1.973 0.758
Ga 0.000 0.000 0.000
Os -1.192 -0.742 3.959

=====

The winner here is version one, beating the second structure by 500 meV per atom.